Entry from Alexandria: a relaxed Nd2ZrGe3Pt4 crystal (GGA-PBE).

```
data_Nd2ZrGe3Pt4
_symmetry_space_group_name_H-M 'P -4 m 2'
_symmetry_Int_Tables_number 115
_cell_length_a 4.252
_cell_length_b 4.252
_cell_length_c 11.136
_cell_angle_alpha 90.00
_cell_angle_beta 90.00
_cell_angle_gamma 90.00
loop_
_symmetry_equiv_pos_as_xyz
'x,y,z'
'y,-x,-z'
'-x,-y,z'
'-y,x,-z'
'-x,y,z'
'-y,-x,-z'
'x,-y,z'
'y,x,-z'
loop_
_atom_site_label
_atom_site_type_symbol
_atom_site_fract_x
_atom_site_fract_y
_atom_site_fract_z
_atom_site_occupancy
Nd1 Nd 0.000 0.500 0.228 1
Zr1 Zr 0.000 0.000 0.500 1
Ge1 Ge 0.000 0.500 0.869 1
Ge2 Ge 0.500 0.500 0.500 1
Pt1 Pt 0.000 0.000 0.000 1
Pt2 Pt 0.000 0.500 0.647 1
Pt3 Pt 0.500 0.500 0.000 1
```

The volume is 20.14 Å³ per atom. As for the density of states at the Fermi level: 0.9535 states/eV per atom. The value obtained for the density is 11.363 g cm⁻³. The energy relative to the elements comes out at -952 meV per atom.